Here is a relaxed Sr2InHg4Pb2 crystal from the Alexandria database. Energies are from PBE.

It has space group I4/mmm (No. 139), with a = 7.322 Å, b = 7.322 Å, c = 10.310 Å, α = 90.00°, β = 90.00° and γ = 90.00°. The inequivalent atoms are Sr at (0.000, 0.500, 0.250), In at (0.000, 0.000, 0.000), Hg at (0.223, 0.223, 0.500) and Pb at (0.000, 0.000, 0.297).

For the spin magnetization, the calculation gives 0.000 μB per cell. The calculation puts the electronic total energy at -0.1412 Ry per atom.

***

Here is a relaxed Tl2CdPbF6 crystal from the Alexandria database. Energies are from PBE.

It has space group P1 (No. 1), with a = 6.461 Å, b = 6.473 Å, c = 6.547 Å, α = 90.70°, β = 118.98° and γ = 119.49°. The inequivalent atoms are Tl at (0.000, 0.000, 0.000), Tl at (0.032, 0.498, 0.543), Cd at (0.522, 0.254, 0.772), Pb at (0.521, 0.754, 0.271), F at (0.003, 0.440, 0.955), F at (0.041, 0.068, 0.587), F at (0.446, 0.031, 0.444), F at (0.515, 0.954, 0.951), F at (0.530, 0.557, 0.594) and F at (0.613, 0.493, 0.100).

As for the raw formation energy: -2.08 eV/atom. For the spin magnetization, the calculation gives 0.000 μB per cell.

***

Here is a relaxed Cs3CdW crystal from the Alexandria database. Energies are from PBE.

It has space group Pm-3m (No. 221), with a = 6.418 Å, b = 6.418 Å, c = 6.418 Å, α = 90.00°, β = 90.00° and γ = 90.00°. The inequivalent atoms are Cs at (0.000, 0.000, 0.500), Cd at (0.500, 0.500, 0.500) and W at (0.000, 0.000, 0.000).

For the spin magnetization, the calculation gives 2.989 μB per cell. The calculation puts the electronic total energy at -0.1305 Ry per atom.

***

One value per record, in order, for density of states at the Fermi level: 6.76; 0.00; 9.54 states/eV per cell.